Here is a relaxed Ca2TaFe crystal from Alexandria via LeMat-Bulk. Energies are from PBE-GGA.

Lattice parameters (Å, degrees): 3.0483 3.0483 9.5832 90.00 90.00 90.00
Last column: nearest neighbours and their distance in Å.
Fractional coordinates of all 4 atoms:
Ca1 0.0000 0.0000 0.0201  4 Ca 3.05, 4 Fe 3.08, 4 Ta 3.37
Ca2 0.0000 0.0000 0.4799  4 Ca 3.05, 4 Fe 3.08, 4 Ta 3.37
Fe1 0.5000 0.5000 0.2500  4 Fe 3.05, 8 Ca 3.08
Ta1 0.5000 0.5000 0.7500  4 Ta 3.05, 8 Ca 3.37

Output
ΔH_f (0 K)	0.77	eV/atom
energy relative to the lowest polymorph listed for this composition	0.5117	eV per atom
density of states at the Fermi level	1.341	states/eV per atom
raw total energy	-0.39022	Ry per atom
crystal system	tetragonal

***

Here is a relaxed CaTaFe2 crystal from Alexandria via LeMat-Bulk. Energies are from PBE-GGA.

Lattice parameters (Å, degrees): 7.0567 7.0567 5.7943 52.49 52.49 90.00
Last column: nearest neighbours and their distance in Å.
Fractional coordinates of all 8 atoms:
Ca1 0.5000 0.5000 0.0000  4 Fe 2.80, 2 Ta 2.95
Ca2 0.2500 0.7500 0.5000  4 Fe 2.80, 2 Ta 2.95
Fe1 0.6647 0.1250 0.2500  2 Ta 2.42
Fe2 0.0853 0.6250 0.2500  2 Ta 2.42
Fe3 0.3750 0.3353 0.7500  2 Ta 2.42
Fe4 0.8750 0.9147 0.7500  2 Ta 2.42
Ta1 0.0000 0.0000 0.0000  4 Fe 2.42
Ta2 0.7500 0.2500 0.5000  4 Fe 2.42

Output
ΔH_f (0 K)	0.82	eV/atom
energy relative to the lowest polymorph listed for this composition	0.6240	eV per atom
density of states at the Fermi level	1.114	states/eV per atom
raw total energy	-0.50511	Ry per atom
crystal system	tetragonal

***

Here is a relaxed CaTaFe2 crystal from Alexandria via LeMat-Bulk. Energies are from PBE-GGA.

Lattice parameters (Å, degrees): 5.3781 5.3781 5.3781 139.07 139.07 59.27
Last column: nearest neighbours and their distance in Å.
Fractional coordinates of all 4 atoms:
Ca1 0.7500 0.2500 0.5000  4 Fe 2.66
Fe1 0.0000 0.0000 0.0000  4 Ta 2.66
Fe2 0.2500 0.7500 0.5000  4 Ca 2.66
Ta1 0.5000 0.5000 0.0000  4 Fe 2.66

Output
ΔH_f (0 K)	0.71	eV/atom
energy relative to the lowest polymorph listed for this composition	0.5083	eV per atom
density of states at the Fermi level	1.364	states/eV per atom
raw total energy	-0.51361	Ry per atom
crystal system	tetragonal

***

Here is a relaxed CaTaFe2 crystal from Alexandria via LeMat-Bulk. Energies are from PBE-GGA.

Lattice parameters (Å, degrees): 8.5191 8.5191 8.5191 21.16 21.16 21.16
Last column: nearest neighbours and their distance in Å.
Fractional coordinates of all 4 atoms:
Ca1 0.7500 0.7500 0.7500  6 Fe 2.98, 6 Ca 3.13
Fe1 0.9882 0.9882 0.9882  3 Ta 2.54
Fe2 0.5118 0.5118 0.5118  3 Ta 2.54
Ta1 0.2500 0.2500 0.2500  6 Fe 2.54

Output
ΔH_f (0 K)	0.55	eV/atom
energy relative to the lowest polymorph listed for this composition	0.3497	eV per atom
density of states at the Fermi level	1.309	states/eV per atom
raw total energy	-0.52527	Ry per atom
crystal system	trigonal